Entry 1:
Computed, not measured: an optimized crystal structure of NaSrCu2Se at the PBE level of DFT.

Calculated values
Space group = P4/mmm (123)
Total magnetic moment = 0.00 Bohr magnetons per cell
E_form (uncorrected) = 50 meV per atom
Fermi-level density of states = 2.80 states/eV/f.u.
Crystal system = tetragonal

Lattice parameters (Å, degrees): 4.9083 5.7589 4.9083 90.00 90.00 90.00
Positions (direct):
Sr 0.0000 0.5000 0.0000
Cu 0.0000 0.0000 0.5000
Cu 0.5000 0.0000 0.0000
Se 0.0000 0.0000 0.0000
Na 0.5000 0.5000 0.5000

***

Entry 2:
Computed, not measured: an optimized crystal structure of Na2TaCuSe5 at the PBE level of DFT.

Calculated values
Space group = Cmc2_1 (36)
Total magnetic moment = 0.00 Bohr magnetons per cell
E_form (uncorrected) = -621 meV per atom
Fermi-level density of states = 3.08 states/eV/f.u.
Crystal system = orthorhombic

Lattice parameters (Å, degrees): 3.5961 9.1089 13.4396 90.00 90.00 101.38
Positions (direct):
Na 0.8953 0.7905 0.8148
Na 0.1172 0.2343 0.6496
Na 0.1047 0.2095 0.3148
Na 0.8828 0.7657 0.1496
Ta 0.8089 0.6178 0.5368
Ta 0.1911 0.3822 0.0368
Cu 0.5713 0.1425 0.9409
Cu 0.4287 0.8575 0.4409
Se 0.3340 0.6680 0.9827
Se 0.7004 0.4007 0.8949
Se 0.5278 0.0556 0.7779
Se 0.2864 0.5728 0.6714
Se 0.9503 0.9006 0.5550
Se 0.6660 0.3320 0.4827
Se 0.2996 0.5993 0.3949
Se 0.4722 0.9444 0.2779
Se 0.7136 0.4272 0.1714
Se 0.0497 0.0994 0.0550

***

Entry 3:
Computed, not measured: an optimized crystal structure of NaTaCu2Se4 at the PBE level of DFT.

Calculated values
Space group = I-42m (121)
Total magnetic moment = 0.00 Bohr magnetons per cell
E_form (uncorrected) = -534 meV per atom
Crystal system = tetragonal

Lattice parameters (Å, degrees): 6.1007 6.1007 6.8914 116.26 116.26 90.02
Positions (direct):
Na 0.0002 0.0002 0.0003
Ta 0.5000 0.5000 0.9999
Cu 0.7502 0.2502 0.5003
Cu 0.2502 0.7502 0.5003
Se 0.5838 0.5838 0.7222
Se 0.4162 0.8614 0.2776
Se 0.8614 0.4162 0.2776
Se 0.1384 0.1384 0.7222

***

Entry 4:
Computed, not measured: an optimized crystal structure of Na2TaCuSe4 at the PBE level of DFT.

Calculated values
Space group = I-42m (121)
Total magnetic moment = 0.00 Bohr magnetons per cell
E_form (uncorrected) = -752 meV per atom
Crystal system = tetragonal

Lattice parameters (Å, degrees): 6.2332 6.3221 6.3221 75.94 60.46 60.46
Positions (direct):
Na 0.0000 0.5000 0.5000
Na 0.5000 0.5000 0.5000
Ta 0.5000 0.0000 0.0000
Cu 0.0000 0.0000 0.0000
Se 0.0831 0.3480 0.0000
Se 0.9169 0.0000 0.6520
Se 0.5689 0.0000 0.3480
Se 0.4311 0.6520 0.0000

***

Entry 5:
Computed, not measured: an optimized crystal structure of NaTb2Cu2Se4 at the PBE level of DFT.

Calculated values
Space group = C2/m (12)
Total magnetic moment = 0.00 Bohr magnetons per cell
E_form (uncorrected) = -1094 meV per atom
Fermi-level density of states = 3.29 states/eV/f.u.
Crystal system = monoclinic

Lattice parameters (Å, degrees): 3.8048 7.6531 7.4609 114.02 90.00 104.39
Positions (direct):
Na 0.0000 0.0000 0.0000
Tb 0.8735 0.7470 0.4323
Tb 0.1265 0.2530 0.5677
Cu 0.3071 0.6142 0.9846
Cu 0.6929 0.3858 0.0154
Se 0.7874 0.5747 0.7478
Se 0.2126 0.4253 0.2522
Se 0.4736 0.9473 0.2675
Se 0.5264 0.0527 0.7325

***

Entry 6:
Computed, not measured: an optimized crystal structure of Na2Tb3CuSe6 at the PBE level of DFT.

Calculated values
Space group = C2/m (12)
Total magnetic moment = 0.00 Bohr magnetons per cell
E_form (uncorrected) = -1466 meV per atom
Crystal system = monoclinic

Lattice parameters (Å, degrees): 7.1632 7.1632 7.0851 99.57 99.57 120.04
Positions (direct):
Na 0.3336 0.6664 0.0000
Na 0.6664 0.3336 0.0000
Tb 0.1673 0.8327 0.5000
Tb 0.8327 0.1673 0.5000
Tb 0.5000 0.5000 0.5000
Cu 0.0000 0.0000 0.0000
Se 0.9138 0.5895 0.7437
Se 0.7627 0.7627 0.2547
Se 0.0862 0.4105 0.2563
Se 0.5895 0.9138 0.7437
Se 0.2373 0.2373 0.7453
Se 0.4105 0.0862 0.2563